No. 1
Below is crystalline Tb2PmEr at its relaxed geometry, with properties calculated at the PBE level.

## Properties
Space group: P4/mmm, No. 123

Cell and atoms, written as CIF:
```
data_Tb2PmEr
_chemical_formula_sum 'Tb2 Pm1 Er1'
_symmetry_space_group_name_H-M 'P 1'
_symmetry_Int_Tables_number 1
_cell_length_a 5.042
_cell_length_b 5.042
_cell_length_c 5.054
_cell_angle_alpha 90.00
_cell_angle_beta 90.00
_cell_angle_gamma 90.00
loop_
_symmetry_equiv_pos_as_xyz
'x,y,z'
loop_
_atom_site_label
_atom_site_fract_x
_atom_site_fract_y
_atom_site_fract_z
Tb1 0.000 0.500 0.000
Tb2 0.500 0.000 0.000
Pm1 0.000 0.000 0.500
Er1 0.500 0.500 0.500
```

***

No. 2
Below is crystalline Tb3Pm6Er2 at its relaxed geometry, with properties calculated at the PBE level.

## Properties
Space group: I4/mmm, No. 139

Cell and atoms, written as CIF:
```
data_Tb3Pm6Er2
_chemical_formula_sum 'Tb3 Pm6 Er2'
_symmetry_space_group_name_H-M 'P 1'
_symmetry_Int_Tables_number 1
_cell_length_a 17.120
_cell_length_b 17.120
_cell_length_c 17.120
_cell_angle_alpha 163.98
_cell_angle_beta 163.98
_cell_angle_gamma 22.74
loop_
_symmetry_equiv_pos_as_xyz
'x,y,z'
loop_
_atom_site_label
_atom_site_fract_x
_atom_site_fract_y
_atom_site_fract_z
Tb1 0.000 0.000 0.000
Tb2 0.198 0.198 0.000
Tb3 0.802 0.802 0.000
Pm1 0.120 0.620 0.500
Pm2 0.300 0.300 0.000
Pm3 0.380 0.880 0.500
Pm4 0.620 0.120 0.500
Pm5 0.700 0.700 0.000
Pm6 0.880 0.380 0.500
Er1 0.455 0.455 0.000
Er2 0.545 0.545 0.000
```

***

No. 3
Below is crystalline Tb6Pm2Er3 at its relaxed geometry, with properties calculated at the PBE level.

## Properties
Space group: I4/mmm, No. 139

Cell and atoms, written as CIF:
```
data_Tb6Pm2Er3
_chemical_formula_sum 'Tb6 Pm2 Er3'
_symmetry_space_group_name_H-M 'P 1'
_symmetry_Int_Tables_number 1
_cell_length_a 16.959
_cell_length_b 16.959
_cell_length_c 16.959
_cell_angle_alpha 163.96
_cell_angle_beta 163.96
_cell_angle_gamma 22.75
loop_
_symmetry_equiv_pos_as_xyz
'x,y,z'
loop_
_atom_site_label
_atom_site_fract_x
_atom_site_fract_y
_atom_site_fract_z
Tb1 0.122 0.622 0.500
Tb2 0.197 0.197 0.000
Tb3 0.378 0.878 0.500
Tb4 0.622 0.122 0.500
Tb5 0.803 0.803 0.000
Tb6 0.878 0.378 0.500
Pm1 0.046 0.046 0.000
Pm2 0.954 0.954 0.000
Er1 0.300 0.300 0.000
Er2 0.500 0.500 0.000
Er3 0.700 0.700 0.000
```

***

No. 4
Below is crystalline TbPm3Er8 at its relaxed geometry, with properties calculated at the PBE level.

## Properties
Space group: Immm, No. 71

Cell and atoms, written as CIF:
```
data_TbPm3Er8
_chemical_formula_sum 'Tb1 Pm3 Er8'
_symmetry_space_group_name_H-M 'P 1'
_symmetry_Int_Tables_number 1
_cell_length_a 8.612
_cell_length_b 8.612
_cell_length_c 8.612
_cell_angle_alpha 136.33
_cell_angle_beta 98.55
_cell_angle_gamma 97.35
loop_
_symmetry_equiv_pos_as_xyz
'x,y,z'
loop_
_atom_site_label
_atom_site_fract_x
_atom_site_fract_y
_atom_site_fract_z
Tb1 0.000 0.000 0.000
Pm1 0.247 0.747 0.500
Pm2 0.500 0.500 0.000
Pm3 0.753 0.253 0.500
Er1 0.080 0.250 0.831
Er2 0.247 0.251 0.498
Er3 0.247 0.749 0.995
Er4 0.419 0.250 0.169
Er5 0.581 0.750 0.831
Er6 0.753 0.251 0.005
Er7 0.753 0.749 0.502
Er8 0.920 0.750 0.169
```

***

No. 5
Below is crystalline Tb4PmEr3 at its relaxed geometry, with properties calculated at the PBE level.

## Properties
Space group: Cmmm, No. 65

Cell and atoms, written as CIF:
```
data_Tb4PmEr3
_chemical_formula_sum 'Tb4 Pm1 Er3'
_symmetry_space_group_name_H-M 'P 1'
_symmetry_Int_Tables_number 1
_cell_length_a 13.300
_cell_length_b 13.300
_cell_length_c 3.557
_cell_angle_alpha 90.00
_cell_angle_beta 90.00
_cell_angle_gamma 155.52
loop_
_symmetry_equiv_pos_as_xyz
'x,y,z'
loop_
_atom_site_label
_atom_site_fract_x
_atom_site_fract_y
_atom_site_fract_z
Tb1 0.105 0.895 0.000
Tb2 0.224 0.776 0.000
Tb3 0.776 0.224 0.000
Tb4 0.895 0.105 0.000
Pm1 0.000 0.000 0.500
Er1 0.345 0.655 0.500
Er2 0.500 0.500 0.000
Er3 0.655 0.345 0.500
```

***

No. 6
Below is crystalline Tb7PmEr5 at its relaxed geometry, with properties calculated at the PBE level.

## Properties
Space group: Imm2, No. 44

Cell and atoms, written as CIF:
```
data_Tb7PmEr5
_chemical_formula_sum 'Tb7 Pm1 Er5'
_symmetry_space_group_name_H-M 'P 1'
_symmetry_Int_Tables_number 1
_cell_length_a 8.671
_cell_length_b 8.671
_cell_length_c 8.671
_cell_angle_alpha 134.69
_cell_angle_beta 100.50
_cell_angle_gamma 96.58
loop_
_symmetry_equiv_pos_as_xyz
'x,y,z'
loop_
_atom_site_label
_atom_site_fract_x
_atom_site_fract_y
_atom_site_fract_z
Tb1 0.000 0.000 0.000
Tb2 0.078 0.749 0.328
Tb3 0.306 0.306 0.000
Tb4 0.421 0.749 0.672
Tb5 0.575 0.247 0.328
Tb6 0.919 0.247 0.672
Tb7 0.999 0.499 0.500
Pm1 0.695 0.695 0.000
Er1 0.268 0.264 0.537
Er2 0.268 0.732 0.004
Er3 0.497 0.997 0.500
Er4 0.727 0.264 0.996
Er5 0.727 0.732 0.463
```

***

No. 7
Below is crystalline TbPm3Er3 at its relaxed geometry, with properties calculated at the PBE level.

## Properties
Space group: R-3, No. 148

Cell and atoms, written as CIF:
```
data_TbPm3Er3
_chemical_formula_sum 'Tb2 Pm6 Er6'
_symmetry_space_group_name_H-M 'P 1'
_symmetry_Int_Tables_number 1
_cell_length_a 14.787
_cell_length_b 14.787
_cell_length_c 14.787
_cell_angle_alpha 24.17
_cell_angle_beta 24.17
_cell_angle_gamma 24.17
loop_
_symmetry_equiv_pos_as_xyz
'x,y,z'
loop_
_atom_site_label
_atom_site_fract_x
_atom_site_fract_y
_atom_site_fract_z
Tb1 0.167 0.167 0.167
Tb2 0.833 0.833 0.833
Pm1 0.038 0.700 0.369
Pm2 0.300 0.631 0.962
Pm3 0.369 0.038 0.700
Pm4 0.631 0.962 0.300
Pm5 0.700 0.369 0.038
Pm6 0.962 0.300 0.631
Er1 0.102 0.435 0.768
Er2 0.232 0.898 0.565
Er3 0.435 0.768 0.102
Er4 0.565 0.232 0.898
Er5 0.768 0.102 0.435
Er6 0.898 0.565 0.232
```

***

No. 8
Below is crystalline Tb3Pm3Er at its relaxed geometry, with properties calculated at the PBE level.

## Properties
Space group: R-3, No. 148

Cell and atoms, written as CIF:
```
data_Tb3Pm3Er
_chemical_formula_sum 'Tb6 Pm6 Er2'
_symmetry_space_group_name_H-M 'P 1'
_symmetry_Int_Tables_number 1
_cell_length_a 14.799
_cell_length_b 14.799
_cell_length_c 14.799
_cell_angle_alpha 24.30
_cell_angle_beta 24.30
_cell_angle_gamma 24.30
loop_
_symmetry_equiv_pos_as_xyz
'x,y,z'
loop_
_atom_site_label
_atom_site_fract_x
_atom_site_fract_y
_atom_site_fract_z
Tb1 0.102 0.436 0.769
Tb2 0.231 0.898 0.564
Tb3 0.436 0.769 0.102
Tb4 0.564 0.231 0.898
Tb5 0.769 0.102 0.436
Tb6 0.898 0.564 0.231
Pm1 0.037 0.700 0.369
Pm2 0.300 0.631 0.963
Pm3 0.369 0.037 0.700
Pm4 0.631 0.963 0.300
Pm5 0.700 0.369 0.037
Pm6 0.963 0.300 0.631
Er1 0.167 0.167 0.167
Er2 0.833 0.833 0.833
```

***

Total energy, record by record: -4.6239 -4.3928 -4.3558 -4.3170 -4.4003 -4.3676 -4.4879 -4.5142 eV/atom